Material: KZn2Rh
Method: DFT, GGA-PBE
State: optimized geometry

Results
Final energy (hartree per atom): -0.085
Theoretical density (g/cm³): 6.0
Distance to the lowest polymorph of the same formula (meV per atom): 549

a b c (Å): 4.1733 4.1733 8.7211
angles (deg): 90.00 90.00 90.00
With the nearest neighbours (Å) after each atom.
Space group I-4m2 (No. 119)
One atom of each set of equivalent atoms:
K 0.0000 0.0000 0.0000 x2  8 Zn 2.95-3.02, 4 Rh 3.02
Zn 0.0000 0.0000 0.5000 x2  4 K 2.95, 4 Rh 3.02, 4 Zn 3.02
Zn 0.0000 0.5000 0.2500 x2  4 Rh 2.95, 4 K 3.02, 4 Zn 3.02
Rh 0.0000 0.5000 0.7500 x2  8 Zn 2.95-3.02, 4 K 3.02


Material: Ac2La12Tm5
Method: DFT, GGA-PBE
State: optimized geometry

Results
Final energy (hartree per atom): -0.170
Theoretical density (g/cm³): 7.2

a b c (Å): 13.3944 11.8159 9.6954
angles (deg): 90.00 117.21 90.00
With the nearest neighbours (Å) after each atom.
Space group C2/m (No. 12)
One atom of each set of equivalent atoms:
Ac 0.0000 0.2330 0.0000 x4  10 La 3.72-3.90, 2 Tm 3.79
La 0.0742 0.0000 0.7767 x4  5 La 3.39-3.64, 2 Tm 3.52-3.79
La 0.1108 0.2148 0.4285 x8  4 La 3.28-3.59, 2 Tm 3.57-3.65
La 0.1288 0.5000 0.9456 x4  3 La 3.42-3.64, 2 Tm 3.47-3.60, 2 Ac 3.75
La 0.1856 0.2608 0.7962 x8  5 La 3.28-3.59, 1 Tm 3.36
Tm 0.0000 0.5000 0.5000 x2  4 Tm 3.56-3.68, 10 La 3.85-3.99
Tm 0.1884 0.5000 0.3339 x4  7 La 3.47-3.86, 2 Tm 3.56-3.64
Tm 0.1955 0.0000 0.2454 x4  6 La 3.36-3.60, 2 Tm 3.64-3.68


Material: Al2VGa
Method: DFT, GGA-PBE
State: optimized geometry

Results
Final energy (hartree per atom): -0.169
Theoretical density (g/cm³): 4.3

a b c (Å): 7.1441 7.1441 5.2318
angles (deg): 90.00 90.00 90.00
With the nearest neighbours (Å) after each atom.
Space group I-42d (No. 122)
One atom of each set of equivalent atoms:
Al 0.2392 0.2500 0.1250 x8  2 Ga 2.56, 2 Al 2.62, 2 V 2.66
V 0.0000 0.0000 0.5000 x4  2 Ga 2.62, 4 Al 2.66
Ga 0.0000 0.0000 0.0000 x4  4 Al 2.56, 2 V 2.62


Material: CsSrDyI6
Method: DFT, GGA-PBE
State: optimized geometry

Results
Final energy (hartree per atom): -0.124
Theoretical density (g/cm³): 3.8

a b c (Å): 8.2805 8.2805 16.8506
angles (deg): 90.00 90.00 120.00
With the nearest neighbours (Å) after each atom.
Space group P-31c (No. 163)
One atom of each set of equivalent atoms:
Cs 0.0000 0.0000 0.0000 x2  6 I 3.92
Sr 0.3333 0.6667 0.2500 x2  6 I 3.30
Dy 0.3333 0.6667 0.7500 x2  6 I 3.05
I 0.0227 0.3844 0.6429 x12  1 Dy 3.05, 1 Sr 3.30


Material: La2CeRh
Method: DFT, GGA-PBE
State: optimized geometry

Results
Final energy (hartree per atom): -0.227
Theoretical density (g/cm³): 7.4
Distance to the lowest polymorph of the same formula (meV per atom): 20

a b c (Å): 3.8062 12.1961 10.1004
angles (deg): 90.00 90.00 90.00
With the nearest neighbours (Å) after each atom.
Space group Cmcm (No. 63)
One atom of each set of equivalent atoms:
La 0.0000 0.1370 0.0591 x8  2 Rh 3.03
Ce 0.0000 0.4080 0.2500 x4  2 Rh 2.72
Rh 0.0000 0.2518 0.7500 x4  2 Ce 2.72, 4 La 3.03


Material: Sr2InOsN
Method: DFT, GGA-PBE
State: optimized geometry

Results
Final energy (hartree per atom): -0.201
Theoretical density (g/cm³): 7.0

a b c (Å): 5.5218 5.5218 3.8422
angles (deg): 90.00 90.00 90.00
With the nearest neighbours (Å) after each atom.
Space group P4/mmm (No. 123)
One atom of each set of equivalent atoms:
Sr 0.0000 0.5000 0.0000 x2  2 N 2.76
In 0.0000 0.0000 0.5000 x1  8 Sr 3.36
Os 0.5000 0.5000 0.5000 x1  2 N 1.92
N 0.5000 0.5000 0.0000 x1  2 Os 1.92


Material: NaLa2Hf
Method: DFT, GGA-PBE
State: optimized geometry

Results
Final energy (hartree per atom): -0.179
Theoretical density (g/cm³): 6.4
Distance to the lowest polymorph of the same formula (meV per atom): 248

a b c (Å): 3.3201 3.3201 38.8683
angles (deg): 90.00 90.00 120.00
With the nearest neighbours (Å) after each atom.
Space group R-3m (No. 166, hexagonal axes)
One atom of each set of equivalent atoms:
Na 0.0000 0.0000 0.0000 x3  6 Na 3.32
La 0.0000 0.0000 0.4218 x6  1 Hf 3.04, 6 La 3.32
Hf 0.0000 0.0000 0.5000 x3  2 La 3.04, 6 Hf 3.32


Material: Na2ZnCoN
Method: DFT, GGA-PBE
State: optimized geometry

Results
Final energy (hartree per atom): -0.140
Theoretical density (g/cm³): 3.5

a b c (Å): 5.0440 5.0440 3.4497
angles (deg): 90.00 90.00 90.00
With the nearest neighbours (Å) after each atom.
Space group P4/mmm (No. 123)
One atom of each set of equivalent atoms:
Na 0.0000 0.5000 0.0000 x2  2 N 2.52
Zn 0.0000 0.0000 0.5000 x1  8 Na 3.06
Co 0.5000 0.5000 0.5000 x1  2 N 1.72
N 0.5000 0.5000 0.0000 x1  2 Co 1.72


Material: LiAl3Tl2F12
Method: DFT, GGA-PBE
State: optimized geometry

Results
Final energy (hartree per atom): -0.198
Theoretical density (g/cm³): 4.8

a b c (Å): 7.0480 7.0480 17.4718
angles (deg): 90.00 90.00 120.00
With the nearest neighbours (Å) after each atom.
Space group R-3m (No. 166, hexagonal axes)
One atom of each set of equivalent atoms:
Li 0.0000 0.0000 0.0000 x3  6 F 2.11
Al 0.0000 0.5000 0.5000 x9  6 F 1.78-1.85
Tl 0.0000 0.0000 0.3609 x6  3 F 2.82
F 0.0438 0.5219 0.6010 x18  1 Al 1.78
F 0.0830 0.5415 0.8460 x18  2 Al 1.85


Material: Ag3MoCl7
Method: DFT, GGA-PBE
State: optimized geometry

Results
Final energy (hartree per atom): -0.130
Theoretical density (g/cm³): 3.5

a b c (Å): 12.2132 8.0229 7.1573
angles (deg): 90.00 116.88 90.00
With the nearest neighbours (Å) after each atom.
Space group Cm (No. 8)
One atom of each set of equivalent atoms:
Ag 0.0000 0.0000 0.0000 x2  4 Cl 2.54-2.70
Ag 0.0446 0.2486 0.4837 x4  4 Cl 2.51-2.75
Mo 0.1680 0.5000 0.0511 x2  6 Cl 2.33-2.48
Cl 0.0212 0.2874 0.8216 x4  1 Mo 2.48, 2 Ag 2.58-2.70
Cl 0.0465 0.5000 0.2443 x2  1 Mo 2.44, 2 Ag 2.65
Cl 0.1360 0.0000 0.3927 x2  3 Ag 2.51-2.54
Cl 0.2600 0.5000 0.8162 x2  1 Mo 2.41, 1 Ag 2.61
Cl 0.2951 0.2865 0.2548 x4  1 Mo 2.33


Material: AcTbTaN3
Method: DFT, GGA-PBE
State: optimized geometry

Results
Final energy (hartree per atom): -0.319
Theoretical density (g/cm³): 8.6

a b c (Å): 7.1376 3.4809 9.4842
angles (deg): 90.00 94.15 90.00
With the nearest neighbours (Å) after each atom.
Space group P2_1/m (No. 11)
One atom of each set of equivalent atoms:
Ac 0.1498 0.2500 0.2050 x2  3 N 2.54
Tb 0.1868 0.2500 0.5804 x2  5 N 2.29-2.46
Ta 0.4002 0.7500 0.8863 x2  3 N 1.89-2.08
N 0.1302 0.7500 0.3985 x2  3 Tb 2.29-2.46, 2 Ac 2.54
N 0.1965 0.7500 0.7475 x2  1 Ta 1.89
N 0.4414 0.7500 0.1257 x2  3 Ta 2.08-2.27


Material: SiTe4As
Method: DFT, GGA-PBE
State: optimized geometry

Results
Final energy (hartree per atom): -0.105
Theoretical density (g/cm³): 6.0

a b c (Å): 8.7889 8.7889 8.7889
angles (deg): 90.00 90.00 90.00
With the nearest neighbours (Å) after each atom.
Space group F-43m (No. 216)
One atom of each set of equivalent atoms:
Si 0.0000 0.0000 0.0000 x4  12 Te 3.64, 4 As 3.81
Te 0.1246 0.1246 0.6246 x16  6 Te 3.10-3.12
As 0.2500 0.2500 0.2500 x4  12 Te 3.64, 4 Si 3.81